Entry 1:
Here is a relaxed structure of Gd2CdPd2 from Alexandria via LeMat-Bulk. Energies are from GGA-PBEsol.

As for the density of states at the Fermi level: 0.69 states/eV/atom. The value obtained for the volume is 216 Å³/cell. The value obtained for the formation energy is -0.76 eV per atom.

It has space group P4/mbm (No. 127), with a = 7.601 Å, b = 7.601 Å, c = 3.734 Å, α = 90.00°, β = 90.00° and γ = 90.00°. The distinct sites, in fractional coordinates, are Gd at (0.172, 0.328, 0.000), Cd at (0.000, 0.000, 0.500) and Pd at (0.129, 0.629, 0.500).

***

Entry 2:
Here is a relaxed structure of LiAl2Ag from Alexandria via LeMat-Bulk. Energies are from GGA-PBEsol.

As for the density of states at the Fermi level: 0.26 states/eV/atom. The value obtained for the volume is 63 Å³/cell. The value obtained for the formation energy is -0.10 eV per atom.

It has space group P2/m (No. 10), with a = 2.809 Å, b = 4.494 Å, c = 5.030 Å, α = 90.00°, β = 93.11° and γ = 90.00°. The distinct sites, in fractional coordinates, are Li at (0.000, 0.000, 0.000), Al at (0.266, 0.500, 0.754) and Ag at (0.500, 0.000, 0.500).

***

Entry 3:
Here is a relaxed structure of SrIn2Au from Alexandria via LeMat-Bulk. Energies are from GGA-PBEsol.

As for the density of states at the Fermi level: 0.44 states/eV/atom. The value obtained for the volume is 106 Å³/cell. The value obtained for the formation energy is -0.40 eV per atom.

It has space group P2/m (No. 10), with a = 4.074 Å, b = 4.783 Å, c = 5.614 Å, α = 90.00°, β = 103.81° and γ = 90.00°. The distinct sites, in fractional coordinates, are Sr at (0.000, 0.000, 0.000), In at (0.344, 0.500, 0.713) and Au at (0.500, 0.000, 0.500).

***

Entry 4:
Here is a relaxed structure of Fe3Re from Alexandria via LeMat-Bulk. Energies are from GGA-PBEsol.

As for the density of states at the Fermi level: 1.09 states/eV/atom. The value obtained for the volume is 44 Å³/cell. The value obtained for the formation energy is 0.01 eV per atom.

It has space group Pm-3m (No. 221), with a = 3.534 Å, b = 3.534 Å, c = 3.534 Å, α = 90.00°, β = 90.00° and γ = 90.00°. The distinct sites, in fractional coordinates, are Fe at (0.000, 0.000, 0.500) and Re at (0.500, 0.500, 0.500).

***

Entry 5:
Here is a relaxed structure of CoNiPd3 from Alexandria via LeMat-Bulk. Energies are from GGA-PBEsol.

As for the density of states at the Fermi level: 1.91 states/eV/atom. The value obtained for the volume is 86 Å³/cell. The value obtained for the formation energy is 1.19 eV per atom.

It has space group Pm-3m (No. 221), with a = 4.409 Å, b = 4.409 Å, c = 4.409 Å, α = 90.00°, β = 90.00° and γ = 90.00°. The distinct sites, in fractional coordinates, are Co at (0.000, 0.000, 0.000), Ni at (0.500, 0.500, 0.500) and Pd at (0.000, 0.000, 0.500).

***

Entry 6:
Here is a relaxed structure of ZrAl2Cu from Alexandria via LeMat-Bulk. Energies are from GGA-PBEsol.

As for the density of states at the Fermi level: 0.31 states/eV/atom. The value obtained for the volume is 569 Å³/cell. The value obtained for the formation energy is -0.47 eV per atom.

It has space group R-3m (No. 166, hexagonal axes), with a = 5.2612 Å, b = 5.2612 Å, c = 23.7263 Å, α = 90.00°, β = 90.00° and γ = 120.00°. The distinct sites, in fractional coordinates, are Zr at (0.0000, 0.0000, 0.0000), Zr at (0.0000, 0.0000, 0.1412), Al at (0.0034, 0.5017, 0.9163), Cu at (0.0000, 0.0000, 0.3343) and Cu at (0.0000, 0.0000, 0.5000).

***

Entry 7:
Here is a relaxed structure of KHfS2N from Alexandria via LeMat-Bulk. Energies are from GGA-PBEsol.

The uncorrected formation energy comes out at -0.77 eV/atom. As for the density of states at the Fermi level: 0.43 states/eV/atom. The value obtained for the volume is 106 Å³/cell.

It has space group P4/mmm (No. 123), with a = 5.002 Å, b = 5.002 Å, c = 4.220 Å, α = 90.00°, β = 90.00° and γ = 90.00°. The distinct sites, in fractional coordinates, are K at (0.000, 0.000, 0.000), Hf at (0.500, 0.500, 0.500), S at (0.000, 0.500, 0.500) and N at (0.500, 0.500, 0.000).

***

Entry 8:
Here is a relaxed structure of Zr2TaCl from Alexandria via LeMat-Bulk. Energies are from GGA-PBEsol.

The uncorrected formation energy comes out at 0.05 eV/atom. As for the density of states at the Fermi level: 1.16 states/eV/atom. The value obtained for the volume is 153 Å³/cell.

It has space group Cmmm (No. 65), with a = 6.308 Å, b = 7.773 Å, c = 3.122 Å, α = 90.00°, β = 90.00° and γ = 90.00°. The distinct sites, in fractional coordinates, are Zr at (0.250, 0.250, 0.000), Ta at (0.000, 0.000, 0.500) and Cl at (0.000, 0.500, 0.500).

***

Entry 9:
Here is a relaxed structure of Y2ReP2 from Alexandria via LeMat-Bulk. Energies are from GGA-PBEsol.

As for the density of states at the Fermi level: 0.67 states/eV/atom. The value obtained for the volume is 423 Å³/cell. The value obtained for the formation energy is -0.85 eV per atom.

It has space group Pnma (No. 62), with a = 7.191 Å, b = 5.491 Å, c = 10.701 Å, α = 90.00°, β = 90.00° and γ = 90.00°. The distinct sites, in fractional coordinates, are Y at (0.003, 0.250, 0.200), Y at (0.164, 0.750, 0.446), Re at (0.209, 0.750, 0.130), P at (0.058, 0.250, 0.764) and P at (0.170, 0.250, 0.427).

***

Entry 10:
Here is a relaxed structure of GdScGe from Alexandria via LeMat-Bulk. Energies are from GGA-PBEsol.

As for the density of states at the Fermi level: 0.68 states/eV/atom. The value obtained for the volume is 273 Å³/cell. The value obtained for the formation energy is -0.78 eV per atom.

It has space group I4/mmm (No. 139), with a = 4.190 Å, b = 4.190 Å, c = 15.535 Å, α = 90.00°, β = 90.00° and γ = 90.00°. The distinct sites, in fractional coordinates, are Gd at (0.000, 0.000, 0.178), Sc at (0.000, 0.500, 0.000) and Ge at (0.000, 0.000, 0.374).

***

Entry 11:
Here is a relaxed structure of MnTeRu2 from Alexandria via LeMat-Bulk. Energies are from GGA-PBEsol.

The uncorrected formation energy comes out at 0.59 eV/atom. As for the density of states at the Fermi level: 1.08 states/eV/atom. The value obtained for the volume is 184 Å³/cell.

It has space group R3m (No. 160, hexagonal axes), with a = 2.9390 Å, b = 2.9390 Å, c = 24.6280 Å, α = 90.00°, β = 90.00° and γ = 120.00°. The distinct sites, in fractional coordinates, are Mn at (0.0000, 0.0000, 0.0000), Te at (0.0000, 0.0000, 0.7534), Ru at (0.0000, 0.0000, 0.2560) and Ru at (0.0000, 0.0000, 0.5056).

***

Entry 12:
Here is a relaxed structure of LaCdIn from Alexandria via LeMat-Bulk. Energies are from GGA-PBEsol.

As for the density of states at the Fermi level: 0.52 states/eV/atom. The value obtained for the volume is 321 Å³/cell. The value obtained for the formation energy is -0.50 eV per atom.

It has space group Imm2 (No. 44), with a = 4.917 Å, b = 8.603 Å, c = 7.584 Å, α = 90.00°, β = 90.00° and γ = 90.00°. The distinct sites, in fractional coordinates, are La at (0.000, 0.000, 0.000), La at (0.000, 0.000, 0.493), Cd at (0.000, 0.332, 0.781) and In at (0.000, 0.331, 0.215).

***

Q: Which of these has the highest volume?
A: ZrAl2Cu

***

Q: Which formula does entry 3 have?
A: SrIn2Au

***

Q: What is the formula in the first record?
A: Gd2CdPd2